No. 1
CdNi3N | the Alexandria database | PBE | optimized geometry; distance to the lowest polymorph of the same formula = 129 meV/atom; calculated volume = 117.8 Å³ per cell; Fermi-level density of states = 0.706 states/eV/atom; formation energy (no corrections) = 31.0 kJ/mol of formula units; spin magnetization = 0.00 μB per formula unit
1.0
5.3177 0.0000 0.0000
0.0000 2.6536 4.1736
0.0000 -2.6536 4.1736
Cd Ni N
2 6 2
direct
0.0000 0.0000 0.0000
0.5000 0.4950 0.4950
0.0000 0.4827 0.4827
0.2559 0.4925 0.9797
0.2559 0.9797 0.4925
0.5000 0.9828 0.9828
0.7441 0.4925 0.9797
0.7441 0.9797 0.4925
0.0000 0.7048 0.7048
0.5000 0.2043 0.2043

=====

No. 2
LaSmEr2In4 | the Alexandria database | PBE | optimized geometry; calculated volume = 222.1 Å³ per cell; Fermi-level density of states = 0.440 states/eV/atom; ΔH_f (0 K) = -10.82 kcal/mol of atoms; spin magnetization = 0.00 μB per formula unit
1.0
2.6945 1.5557 8.8293
-2.6945 1.5557 8.8293
0.0000 -3.1114 8.8293
La Sm Er In
1 1 2 4
direct
0.0000 0.0000 0.0000
0.5000 0.5000 0.5000
0.2499 0.2499 0.2499
0.7501 0.7501 0.7501
0.1264 0.1264 0.1264
0.3765 0.3765 0.3765
0.6235 0.6235 0.6235
0.8736 0.8736 0.8736

=====

No. 3
SrEuAlCu | the Alexandria database | PBE | optimized geometry; calculated volume = 109.9 Å³ per cell; Fermi-level density of states = 1.845 states/eV/atom; ΔH_f (0 K) = -0.77 kcal/mol of atoms; spin magnetization = 7.27 μB per formula unit
1.0
0.0000 3.8018 3.8018
3.8018 0.0000 3.8018
3.8018 3.8018 0.0000
Sr Eu Al Cu
1 1 1 1
direct
0.0000 0.0000 0.0000
0.5000 0.5000 0.5000
0.2500 0.2500 0.2500
0.7500 0.7500 0.7500

=====

No. 4
TcSb2TeO | the Alexandria database | PBE | optimized geometry; distance to the lowest polymorph of the same formula = 0 meV/atom; calculated volume = 102.4 Å³ per cell; Fermi-level density of states = 0.890 states/eV/atom; formation energy (no corrections) = 216.6 kJ/mol of formula units; spin magnetization = 1.46 μB per formula unit
1.0
4.6157 0.0000 0.0000
0.0000 4.6157 0.0000
0.0000 0.0000 4.8064
Tc Sb Te O
1 2 1 1
direct
0.0000 0.0000 0.0000
0.0000 0.5000 0.5000
0.5000 0.0000 0.5000
0.5000 0.5000 0.0000
0.5000 0.5000 0.5000

=====

No. 5
Li2TaCl | the Alexandria database | PBE | optimized geometry; distance to the lowest polymorph of the same formula = 478 meV/atom; calculated volume = 69.0 Å³ per cell; Fermi-level density of states = 0.700 states/eV/atom; formation energy (no corrections) = 38.3 kJ/mol of formula units; spin magnetization = 0.00 μB per formula unit
1.0
2.4697 -4.8672 0.0000
2.4697 4.8672 0.0000
-0.0046 0.0000 2.8692
Li Ta Cl
2 1 1
direct
0.0000 0.5000 0.0000
0.5000 0.0000 0.0000
0.0000 0.0000 0.5000
0.5000 0.5000 0.5000

=====

No. 6
ZrAgB | the Alexandria database | PBE | optimized geometry; calculated volume = 186.8 Å³ per cell; Fermi-level density of states = 0.391 states/eV/atom; ΔH_f (0 K) = -0.62 kcal/mol of atoms; spin magnetization = 0.00 μB per formula unit
1.0
6.9799 0.0000 0.0000
0.0000 4.7298 0.0000
0.0000 0.0000 5.6575
Zr Ag B
4 4 4
direct
0.1656 0.2500 0.1392
0.3344 0.7500 0.6392
0.6656 0.2500 0.3608
0.8344 0.7500 0.8608
0.0339 0.2500 0.6418
0.4661 0.7500 0.1418
0.5339 0.2500 0.8582
0.9661 0.7500 0.3582
0.1601 0.7500 0.0172
0.3399 0.2500 0.5172
0.6601 0.7500 0.4828
0.8399 0.2500 0.9828

=====

No. 7
Sm2NF2 | the Alexandria database | PBE | optimized geometry; calculated volume = 88.0 Å³ per cell; Fermi-level density of states = 0.404 states/eV/atom; formation energy (no corrections) = -1318.8 kJ/mol of formula units; spin magnetization = 0.00 μB per formula unit
1.0
3.0995 -1.7867 0.0000
3.0995 1.7867 0.0000
-2.1825 0.0000 7.9454
Sm N F
2 1 2
direct
0.1054 0.1054 0.3260
0.8946 0.8946 0.6740
0.5000 0.5000 0.5000
0.2836 0.2836 0.8337
0.7164 0.7164 0.1663

=====

No. 8
Y2TlCl | the Alexandria database | PBE | optimized geometry; distance to the lowest polymorph of the same formula = 129 meV/atom; calculated volume = 103.9 Å³ per cell; Fermi-level density of states = 0.614 states/eV/atom; formation energy (no corrections) = -294.1 kJ/mol of formula units; spin magnetization = 0.00 μB per formula unit
1.0
1.8286 1.0558 8.9663
-1.8286 1.0558 8.9663
0.0000 -2.1115 8.9663
Y Tl Cl
2 1 1
direct
0.2426 0.2426 0.2426
0.7574 0.7574 0.7574
0.0000 0.0000 0.0000
0.5000 0.5000 0.5000

=====

No. 9
Tm4Te5Ir | the Alexandria database | PBE | optimized geometry; calculated volume = 313.6 Å³ per cell; Fermi-level density of states = 0.543 states/eV/atom; formation energy (no corrections) = -969.0 kJ/mol of formula units; spin magnetization = 0.00 μB per formula unit
1.0
9.1781 -2.0810 0.0000
9.1781 2.0810 0.0000
-1.8551 0.0000 8.2107
Tm Te Ir
4 5 1
direct
0.0001 0.0001 0.2324
0.9999 0.9999 0.7676
0.3420 0.3420 0.9169
0.6580 0.6580 0.0831
0.1667 0.1667 0.3426
0.1695 0.1695 0.8245
0.5000 0.5000 0.5000
0.8305 0.8305 0.1755
0.8333 0.8333 0.6574
0.5000 0.5000 0.0000

=====

No. 10
Cd2Au3 | the Alexandria database | PBE | optimized geometry; calculated volume = 97.0 Å³ per cell; Fermi-level density of states = 0.310 states/eV/atom; ΔH_f (0 K) = -1.27 kcal/mol of atoms; spin magnetization = 0.00 μB per formula unit
1.0
-1.5734 1.5734 9.7942
1.5734 -1.5734 9.7942
1.5734 1.5734 -9.7942
Cd Au
2 3
direct
0.1929 0.1929 0.0000
0.8071 0.8071 0.0000
0.0000 0.0000 0.0000
0.4047 0.4047 0.0000
0.5953 0.5953 0.0000

=====

No. 11
Li2Cu5Ni3 | the Alexandria database | PBE | optimized geometry; calculated volume = 120.5 Å³ per cell; Fermi-level density of states = 0.522 states/eV/atom; ΔH_f (0 K) = 0.88 kcal/mol of atoms; spin magnetization = 0.00 μB per formula unit
1.0
6.5255 -1.2432 0.0000
6.5255 1.2432 0.0000
-2.3202 0.0000 7.4275
Li Cu Ni
2 5 3
direct
0.1858 0.1858 0.1038
0.8142 0.8142 0.8962
0.2037 0.2037 0.5987
0.3971 0.3971 0.2188
0.5000 0.5000 0.0000
0.6029 0.6029 0.7812
0.7963 0.7963 0.4013
0.0000 0.0000 0.5000
0.4035 0.4035 0.6788
0.5965 0.5965 0.3212

=====

No. 12
AlTl2Pd8 | the Alexandria database | PBE | optimized geometry; distance to the lowest polymorph of the same formula = 10 meV/atom; calculated volume = 187.6 Å³ per cell; Fermi-level density of states = 0.343 states/eV/atom; ΔH_f (0 K) = -6.87 kcal/mol of atoms; spin magnetization = 0.00 μB per formula unit
1.0
-2.2909 3.0204 6.7780
2.2909 -3.0204 6.7780
2.2909 3.0204 -6.7780
Al Tl Pd
1 2 8
direct
0.0000 0.0000 0.0000
0.3180 0.3180 0.0000
0.6820 0.6820 0.0000
0.1185 0.8608 0.2576
0.1741 0.6741 0.5000
0.2470 0.5000 0.7470
0.3968 0.1392 0.2576
0.6032 0.8608 0.7424
0.7530 0.5000 0.2530
0.8259 0.3259 0.5000
0.8815 0.1392 0.7424